! Sc4BiAuC2 GGA-PBE relaxed; values from VASP
&SYSTEM
  ibrav = 0, nat = 8, ntyp = 4
/
ATOMIC_SPECIES
Au 196.97 Au.upf
Bi 208.98 Bi.upf
C 12.01 C.upf
Sc 44.96 Sc.upf
CELL_PARAMETERS angstrom
-2.049 1.317 -2.421
-1.010 -2.748 1.796
-5.898 8.427 9.577
ATOMIC_POSITIONS angstrom
Au 0.000 0.000 0.000
Bi -4.652 4.176 3.773
C -2.765 0.619 2.677
C -5.846 5.022 7.681
Sc -2.596 1.238 0.435
Sc -1.891 2.702 3.071
Sc -4.007 5.725 6.507
Sc -6.708 7.113 7.112
! E_tot = -56.2 eV per cell
! Space group = P-6m2 (187)



! Ta4BiAuC2 GGA-PBE relaxed; values from VASP
&SYSTEM
  ibrav = 0, nat = 8, ntyp = 4
/
ATOMIC_SPECIES
Au 196.97 Au.upf
Bi 208.98 Bi.upf
C 12.01 C.upf
Ta 180.95 Ta.upf
CELL_PARAMETERS angstrom
3.258 0.000 0.000
-1.629 2.821 0.000
0.000 0.000 13.800
ATOMIC_POSITIONS angstrom
Au 0.000 0.000 0.000
Bi 1.629 0.940 6.900
C 0.000 1.881 3.356
C 0.000 1.881 10.445
Ta 1.629 0.940 2.213
Ta 0.000 0.000 4.504
Ta 0.000 0.000 9.297
Ta 1.629 0.940 11.587
! E_tot = -75.1 eV per cell
! Space group = P-6m2 (187)



! BiW4AuC2 GGA-PBE relaxed; values from VASP
&SYSTEM
  ibrav = 0, nat = 8, ntyp = 4
/
ATOMIC_SPECIES
Au 196.97 Au.upf
Bi 208.98 Bi.upf
C 12.01 C.upf
W 183.84 W.upf
CELL_PARAMETERS angstrom
3.160 0.000 0.000
-1.580 2.736 0.000
0.000 0.000 14.246
ATOMIC_POSITIONS angstrom
Au 0.000 0.000 0.000
Bi 1.580 0.912 7.123
C 0.000 1.824 3.351
C 0.000 1.824 10.895
W 1.580 0.912 2.221
W 0.000 0.000 4.428
W 0.000 0.000 9.819
W 1.580 0.912 12.025
! E_tot = -74.6 eV per cell
! Space group = P-6m2 (187)



! Zr4BiAuC2 GGA-PBE relaxed; values from VASP
&SYSTEM
  ibrav = 0, nat = 8, ntyp = 4
/
ATOMIC_SPECIES
Au 196.97 Au.upf
Bi 208.98 Bi.upf
C 12.01 C.upf
Zr 91.22 Zr.upf
CELL_PARAMETERS angstrom
-3.097 1.387 -0.204
0.862 -1.841 2.725
4.913 11.927 6.502
ATOMIC_POSITIONS angstrom
Au -0.458 -0.765 1.749
Bi 0.679 6.275 4.024
C 1.198 2.907 1.585
C 3.716 9.020 4.917
Zr -1.010 2.173 1.788
Zr 1.162 3.167 3.893
Zr 2.836 7.230 6.107
Zr 2.369 10.376 6.260
! E_tot = -65.1 eV per cell
! Space group = P-6m2 (187)



Question: Which of these has the highest E_tot?
Answer: Sc4BiAuC2



Question: The lowest E_tot belongs to which entry?
Answer: Ta4BiAuC2



Question: What is the formula in the second record?
Answer: Ta4BiAuC2



Please write out number 2 again, unchanged.
! Ta4BiAuC2 GGA-PBE relaxed; values from VASP
&SYSTEM
  ibrav = 0, nat = 8, ntyp = 4
/
ATOMIC_SPECIES
Au 196.97 Au.upf
Bi 208.98 Bi.upf
C 12.01 C.upf
Ta 180.95 Ta.upf
CELL_PARAMETERS angstrom
3.258 0.000 0.000
-1.629 2.821 0.000
0.000 0.000 13.800
ATOMIC_POSITIONS angstrom
Au 0.000 0.000 0.000
Bi 1.629 0.940 6.900
C 0.000 1.881 3.356
C 0.000 1.881 10.445
Ta 1.629 0.940 2.213
Ta 0.000 0.000 4.504
Ta 0.000 0.000 9.297
Ta 1.629 0.940 11.587
! E_tot = -75.1 eV per cell
! Space group = P-6m2 (187)